No. 1
! AlAsCBr2 (PBE, relaxed); values from VASP
! - Uncorrected energy: -15.6 eV per formula unit
! - Uncorrected formation energy: 1.067 eV/atom
! - Offset from the most stable computed form: 0 meV per atom
&SYSTEM
  ibrav = 0, nat = 5, ntyp = 4
/
ATOMIC_SPECIES
C 12.01 C.upf
As 74.92 As.upf
Al 26.98 Al.upf
Br 79.90 Br.upf
CELL_PARAMETERS angstrom
-2.2901 0.8534 4.1022
-1.0186 -4.6481 0.3983
3.7744 -0.6353 2.2393
ATOMIC_POSITIONS crystal
C 0.0000 0.0000 0.0000
As 0.0000 0.0000 0.5000
Al 0.5000 0.5000 0.5000
Br 0.0000 0.5000 0.0000
Br 0.5000 0.0000 0.0000


No. 2
! AlAs2CBr (PBE, relaxed); values from VASP
! - Uncorrected energy: -18.4 eV per formula unit
! - Uncorrected formation energy: 1.108 eV/atom
! - Offset from the most stable computed form: 0 meV per atom
&SYSTEM
  ibrav = 0, nat = 5, ntyp = 4
/
ATOMIC_SPECIES
C 12.01 C.upf
As 74.92 As.upf
Al 26.98 Al.upf
Br 79.90 Br.upf
CELL_PARAMETERS angstrom
4.3298 0.0000 0.0000
0.0000 4.3298 0.0000
0.0000 0.0000 5.0724
ATOMIC_POSITIONS crystal
C 0.0000 0.0000 0.0000
As 0.0000 0.5000 0.0000
As 0.5000 0.0000 0.0000
Al 0.5000 0.5000 0.5000
Br 0.0000 0.0000 0.5000


No. 3
! AlAsCBr2 (PBE, relaxed); values from VASP
! - Uncorrected energy: -14.3 eV per formula unit
! - Uncorrected formation energy: 1.338 eV/atom
! - Offset from the most stable computed form: 270 meV per atom
&SYSTEM
  ibrav = 0, nat = 5, ntyp = 4
/
ATOMIC_SPECIES
C 12.01 C.upf
As 74.92 As.upf
Al 26.98 Al.upf
Br 79.90 Br.upf
CELL_PARAMETERS angstrom
4.9896 0.0000 0.0000
0.0000 4.9896 0.0000
0.0000 0.0000 5.0995
ATOMIC_POSITIONS crystal
C 0.5000 0.5000 0.5000
As 0.0000 0.0000 0.5000
Al 0.0000 0.0000 0.0000
Br 0.0000 0.5000 0.0000
Br 0.5000 0.0000 0.0000


No. 4
! AlAs2CBr (PBE, relaxed); values from VASP
! - Uncorrected energy: -15.7 eV per formula unit
! - Uncorrected formation energy: 1.647 eV/atom
! - Offset from the most stable computed form: 538 meV per atom
&SYSTEM
  ibrav = 0, nat = 5, ntyp = 4
/
ATOMIC_SPECIES
C 12.01 C.upf
As 74.92 As.upf
Al 26.98 Al.upf
Br 79.90 Br.upf
CELL_PARAMETERS angstrom
4.9157 0.0000 0.0000
0.0000 4.9157 0.0000
0.0000 0.0000 4.9181
ATOMIC_POSITIONS crystal
C 0.5000 0.5000 0.5000
As 0.0000 0.5000 0.0000
As 0.5000 0.0000 0.0000
Al 0.0000 0.0000 0.0000
Br 0.0000 0.0000 0.5000


- What is the uncorrected formation energy in the third record?
  1.338 eV/atom


- Look up the offset from the most stable computed form of the first one.
  0 meV per atom


What did the fourth record say?
! AlAs2CBr (PBE, relaxed); values from VASP
! - Uncorrected energy: -15.7 eV per formula unit
! - Uncorrected formation energy: 1.647 eV/atom
! - Offset from the most stable computed form: 538 meV per atom
&SYSTEM
  ibrav = 0, nat = 5, ntyp = 4
/
ATOMIC_SPECIES
C 12.01 C.upf
As 74.92 As.upf
Al 26.98 Al.upf
Br 79.90 Br.upf
CELL_PARAMETERS angstrom
4.9157 0.0000 0.0000
0.0000 4.9157 0.0000
0.0000 0.0000 4.9181
ATOMIC_POSITIONS crystal
C 0.5000 0.5000 0.5000
As 0.0000 0.5000 0.0000
As 0.5000 0.0000 0.0000
Al 0.0000 0.0000 0.0000
Br 0.0000 0.0000 0.5000


- Look up the uncorrected formation energy of the first one.
  1.067 eV/atom